(1)
Material: TbNd2TmTh
Method: DFT, PBE
State: optimized geometry

POSCAR file:
```
TbNd2TmTh
1.0
8.572 0.000 0.000
0.000 6.346 0.000
-0.248 0.000 6.382
Tb Nd Tm Th
2 4 2 2
Cartesian
0.000 0.000 0.000 Tb
-0.124 0.000 3.191 Tb
2.610 1.851 1.521 Nd
2.486 4.495 4.713 Nd
5.838 1.851 1.670 Nd
5.714 4.495 4.861 Nd
4.100 1.193 4.787 Tm
4.224 5.153 1.596 Tm
-0.186 2.847 4.787 Th
-0.062 3.499 1.596 Th
```

- DOS(E_F): 6.868 states/eV/f.u.
- M_tot: 0.0 μB per formula unit
- Energy of formation from the pure elements: 0.31 eV per atom
- Calculated density: 8.1 g/cm3
- Space-group type: P2/c



(2)
Material: Tb2NdTm2Th2
Method: DFT, PBE
State: optimized geometry

POSCAR file:
```
Tb2NdTm2Th2
1.0
11.382 0.000 0.000
0.000 3.427 0.000
-2.166 0.000 11.720
Tb Nd Tm Th
4 2 4 4
Cartesian
1.560 0.000 0.878 Tb
1.965 1.713 10.842 Tb
7.251 1.713 0.878 Tb
7.655 0.000 10.842 Tb
-1.083 1.713 5.860 Nd
4.608 0.000 5.860 Nd
-0.622 0.000 9.110 Tm
4.147 1.713 2.610 Tm
5.069 1.713 9.110 Tm
9.838 0.000 2.610 Tm
1.581 0.000 4.236 Th
1.943 1.713 7.484 Th
7.272 1.713 4.236 Th
7.634 0.000 7.484 Th
```

- DOS(E_F): 11.439 states/eV/f.u.
- M_tot: 0.0 μB per formula unit
- Energy of formation from the pure elements: 0.18 eV per atom
- Calculated density: 9.2 g/cm3
- Space-group type: C2/m



(3)
Material: Tb2NdTm4Th
Method: DFT, PBE
State: optimized geometry

POSCAR file:
```
Tb2NdTm4Th
1.0
5.047 0.000 0.000
0.000 5.060 0.000
0.000 0.000 9.859
Tb Nd Tm Th
2 1 4 1
Cartesian
0.000 0.000 0.000 Tb
2.524 2.530 4.930 Tb
0.000 0.000 4.930 Nd
0.000 2.530 2.427 Tm
0.000 2.530 7.432 Tm
2.524 0.000 2.423 Tm
2.524 0.000 7.436 Tm
2.524 2.530 0.000 Th
```

- DOS(E_F): 11.588 states/eV/f.u.
- M_tot: 0.0 μB per formula unit
- Energy of formation from the pure elements: 0.03 eV per atom
- Calculated density: 9.0 g/cm3
- Space-group type: Pmmm



(4)
Material: Tb6Nd3Tm2Th
Method: DFT, PBE
State: optimized geometry

POSCAR file:
```
Tb6Nd3Tm2Th
1.0
3.101 -5.367 0.000
3.101 5.367 0.000
-2.070 0.000 11.704
Tb Nd Tm Th
6 3 2 1
Cartesian
-0.008 1.773 8.723 Tb
1.011 0.000 2.980 Tb
-0.008 -1.773 8.723 Tb
4.139 1.773 2.980 Tb
3.120 0.000 8.724 Tb
4.139 -1.773 2.980 Tb
3.101 3.576 0.000 Nd
3.101 0.000 0.000 Nd
3.101 -3.576 0.000 Nd
2.066 1.790 5.852 Tm
2.066 -1.790 5.852 Tm
-1.035 0.000 5.852 Th
```

- DOS(E_F): 15.770 states/eV/f.u.
- M_tot: 0.0 μB per formula unit
- Energy of formation from the pure elements: 0.02 eV per atom
- Calculated density: 8.3 g/cm3
- Space-group type: C2/m



(5)
Material: Tb6NdTm2Th3
Method: DFT, PBE
State: optimized geometry

POSCAR file:
```
Tb6NdTm2Th3
1.0
3.091 -5.353 0.000
3.091 5.353 0.000
-2.066 0.000 11.597
Tb Nd Tm Th
6 1 2 3
Cartesian
1.026 1.789 2.854 Tb
-0.009 0.000 8.742 Tb
1.026 -1.789 2.854 Tb
3.091 1.789 8.744 Tb
4.126 0.000 2.855 Tb
3.091 -1.789 8.744 Tb
2.058 0.000 5.799 Nd
2.058 3.567 5.799 Tm
2.058 -3.567 5.799 Tm
0.000 0.000 0.000 Th
3.091 1.781 0.000 Th
3.091 -1.781 0.000 Th
```

- DOS(E_F): 17.930 states/eV/f.u.
- M_tot: 0.0 μB per formula unit
- Energy of formation from the pure elements: 0.02 eV per atom
- Calculated density: 9.2 g/cm3
- Space-group type: C2/m



(6)
Material: TbNd3Tm6Th2
Method: DFT, PBE
State: optimized geometry

POSCAR file:
```
TbNd3Tm6Th2
1.0
3.089 -5.347 0.000
3.089 5.347 0.000
-2.063 0.000 11.507
Tb Nd Tm Th
1 3 6 2
Cartesian
0.000 0.000 0.000 Tb
2.057 3.571 5.754 Nd
2.057 0.000 5.754 Nd
2.057 -3.571 5.754 Nd
1.042 1.806 2.820 Tm
0.025 0.000 8.683 Tm
1.042 -1.806 2.820 Tm
3.072 1.806 8.687 Tm
4.089 0.000 2.825 Tm
3.072 -1.806 8.687 Tm
3.089 1.782 0.000 Th
3.089 -1.782 0.000 Th
```

- DOS(E_F): 15.271 states/eV/f.u.
- M_tot: 0.0 μB per formula unit
- Energy of formation from the pure elements: 0.02 eV per atom
- Calculated density: 9.0 g/cm3
- Space-group type: C2/m



(7)
Material: TbNd5Tm2Th
Method: DFT, PBE
State: optimized geometry

POSCAR file:
```
TbNd5Tm2Th
1.0
2.706 -10.808 0.000
2.706 10.808 0.000
0.000 0.000 10.609
Tb Nd Tm Th
2 10 4 2
Cartesian
2.706 8.620 7.957 Tb
2.706 -8.620 2.652 Tb
0.000 0.000 0.000 Nd
0.000 0.000 5.305 Nd
2.706 8.108 2.652 Nd
2.706 6.018 5.906 Nd
2.706 6.018 10.008 Nd
2.706 0.056 7.957 Nd
2.706 -0.056 2.652 Nd
2.706 -6.018 0.601 Nd
2.706 -6.018 4.703 Nd
2.706 -8.108 7.957 Nd
2.706 2.446 0.043 Tm
2.706 2.446 5.261 Tm
2.706 -2.446 5.348 Tm
2.706 -2.446 10.566 Tm
2.706 4.622 2.652 Th
2.706 -4.622 7.957 Th
```

- DOS(E_F): 12.899 states/eV/f.u.
- M_tot: 0.0 μB per formula unit
- Energy of formation from the pure elements: 0.14 eV per atom
- Calculated density: 7.8 g/cm3
- Space-group type: Cmcm



(8)
Material: Tb5NdTmTh2
Method: DFT, PBE
State: optimized geometry

POSCAR file:
```
Tb5NdTmTh2
1.0
-4.437 4.437 7.659
4.437 -4.437 7.659
4.437 4.437 -7.659
Tb Nd Tm Th
10 2 2 4
Cartesian
0.000 0.000 0.000 Tb
6.286 1.850 -2.108 Tb
1.850 2.587 -2.108 Tb
6.286 1.850 2.108 Tb
1.850 2.587 2.108 Tb
0.000 0.000 7.659 Tb
2.587 1.850 5.552 Tb
-1.850 2.587 5.552 Tb
2.587 1.850 9.767 Tb
-1.850 2.587 9.767 Tb
0.000 0.000 3.830 Nd
0.000 0.000 11.489 Nd
4.437 0.000 3.830 Tm
0.000 4.437 3.830 Tm
3.381 1.056 0.000 Th
3.381 -1.056 7.659 Th
1.056 5.493 0.000 Th
1.056 3.381 7.659 Th
```

- DOS(E_F): 12.620 states/eV/f.u.
- M_tot: 0.0 μB per formula unit
- Energy of formation from the pure elements: 0.34 eV per atom
- Calculated density: 8.7 g/cm3
- Space-group type: I4/mcm



(9)
Material: Tb2NdTm5Th
Method: DFT, PBE
State: optimized geometry

POSCAR file:
```
Tb2NdTm5Th
1.0
-4.352 4.352 7.499
4.352 -4.352 7.499
4.352 4.352 -7.499
Tb Nd Tm Th
4 2 10 2
Cartesian
5.352 1.000 0.000 Tb
1.000 3.353 0.000 Tb
3.353 1.000 7.499 Tb
-1.000 3.353 7.499 Tb
4.352 0.000 3.750 Nd
0.000 4.352 3.750 Nd
0.000 0.000 0.000 Tm
2.532 1.821 -2.037 Tm
2.532 -1.821 5.462 Tm
2.532 1.821 2.037 Tm
2.532 -1.821 9.537 Tm
0.000 0.000 7.499 Tm
1.821 6.173 -2.037 Tm
1.821 2.532 5.462 Tm
1.821 6.173 2.037 Tm
1.821 2.532 9.537 Tm
0.000 0.000 3.750 Th
0.000 0.000 11.249 Th
```

- DOS(E_F): 10.836 states/eV/f.u.
- M_tot: 0.0 μB per formula unit
- Energy of formation from the pure elements: 0.31 eV per atom
- Calculated density: 9.0 g/cm3
- Space-group type: I4/mcm



(10)
Material: Tb2NdTmTh
Method: DFT, PBE
State: optimized geometry

POSCAR file:
```
Tb2NdTmTh
1.0
8.582 0.000 0.000
0.000 6.398 0.000
-0.925 0.000 6.260
Tb Nd Tm Th
4 2 2 2
Cartesian
1.310 1.200 1.843 Tb
0.847 5.199 4.973 Tb
6.810 1.200 1.287 Tb
6.348 5.199 4.417 Tb
4.291 3.199 0.000 Nd
3.829 3.199 3.130 Nd
-0.694 2.088 4.695 Tm
-0.231 4.311 1.565 Tm
3.598 0.308 4.695 Th
4.060 6.091 1.565 Th
```

- DOS(E_F): 6.619 states/eV/f.u.
- M_tot: 0.0 μB per formula unit
- Energy of formation from the pure elements: 0.34 eV per atom
- Calculated density: 8.3 g/cm3
- Space-group type: P2/c



(11)
Material: Tb2Nd6TmTh
Method: DFT, PBE
State: optimized geometry

POSCAR file:
```
Tb2Nd6TmTh
1.0
4.673 -7.548 0.000
4.673 7.548 0.000
-1.364 0.000 9.675
Tb Nd Tm Th
4 12 2 2
Cartesian
2.231 0.687 0.480 Tb
1.549 -0.687 5.317 Tb
6.432 0.687 4.358 Tb
5.750 -0.687 9.196 Tb
2.464 4.271 1.828 Nd
3.303 4.879 5.385 Nd
3.996 4.879 9.128 Nd
3.261 1.619 3.691 Nd
6.199 4.271 3.010 Nd
5.403 1.619 1.147 Nd
2.579 -1.619 8.529 Nd
1.782 -4.271 6.665 Nd
4.721 -1.619 5.984 Nd
3.985 -4.879 0.547 Nd
4.678 -4.879 4.290 Nd
5.517 -4.271 7.848 Nd
3.650 1.373 7.256 Tm
4.332 -1.373 2.419 Tm
4.332 7.148 2.419 Th
3.650 -7.148 7.256 Th
```

- DOS(E_F): 14.251 states/eV/f.u.
- M_tot: 0.0 μB per formula unit
- Energy of formation from the pure elements: 0.14 eV per atom
- Calculated density: 7.7 g/cm3
- Space-group type: C2/c



(12)
Material: TbNdTm5Th2
Method: DFT, PBE
State: optimized geometry

POSCAR file:
```
TbNdTm5Th2
1.0
-4.372 4.372 7.635
4.372 -4.372 7.635
4.372 4.372 -7.635
Tb Nd Tm Th
2 2 10 4
Cartesian
0.000 0.000 3.817 Tb
0.000 0.000 11.452 Tb
4.372 0.000 3.817 Nd
0.000 4.372 3.817 Nd
0.000 0.000 0.000 Tm
6.191 1.818 -2.123 Tm
1.818 2.554 -2.123 Tm
6.191 1.818 2.123 Tm
1.818 2.554 2.123 Tm
0.000 0.000 7.635 Tm
2.554 1.818 5.511 Tm
-1.818 2.554 5.511 Tm
2.554 1.818 9.758 Tm
-1.818 2.554 9.758 Tm
3.331 1.041 0.000 Th
3.331 -1.041 7.635 Th
1.041 5.414 0.000 Th
1.041 3.331 7.635 Th
```

- DOS(E_F): 12.298 states/eV/f.u.
- M_tot: 0.0 μB per formula unit
- Energy of formation from the pure elements: 0.34 eV per atom
- Calculated density: 9.2 g/cm3
- Space-group type: I4/mcm



(13)
Material: TbNdTmTh2
Method: DFT, PBE
State: optimized geometry

POSCAR file:
```
TbNdTmTh2
1.0
3.336 -7.823 0.000
3.336 7.823 0.000
0.000 0.000 6.678
Tb Nd Tm Th
2 2 2 4
Cartesian
3.336 4.005 5.008 Tb
3.336 -4.005 1.669 Tb
3.336 2.391 1.669 Nd
3.336 -2.391 5.008 Nd
3.336 5.462 1.669 Tm
3.336 -5.462 5.008 Tm
1.650 0.000 0.000 Th
1.650 0.000 3.339 Th
5.022 0.000 0.000 Th
5.022 0.000 3.339 Th
```

- DOS(E_F): 7.169 states/eV/f.u.
- M_tot: 0.0 μB per formula unit
- Energy of formation from the pure elements: 0.41 eV per atom
- Calculated density: 8.9 g/cm3
- Space-group type: Cmcm



(14)
Material: Tb4Nd2TmTh
Method: DFT, PBE
State: optimized geometry

POSCAR file:
```
Tb4Nd2TmTh
1.0
5.953 0.000 0.000
0.000 5.948 0.000
-0.001 0.000 7.379
Tb Nd Tm Th
4 2 1 1
Cartesian
5.951 0.000 1.839 Tb
0.000 0.000 5.540 Tb
2.970 2.974 5.532 Tb
2.981 2.974 1.847 Tb
0.000 2.974 0.000 Nd
2.976 0.000 3.690 Nd
-0.001 2.974 3.690 Tm
2.976 0.000 0.000 Th
```

- DOS(E_F): 15.382 states/eV/f.u.
- M_tot: 0.0 μB per formula unit
- Energy of formation from the pure elements: 0.13 eV per atom
- Calculated density: 8.4 g/cm3
- Space-group type: P2/m



(15)
Material: TbNd2Tm2Th2
Method: DFT, PBE
State: optimized geometry

POSCAR file:
```
TbNd2Tm2Th2
1.0
17.729 0.000 0.000
0.000 3.470 0.000
-3.994 0.000 7.558
Tb Nd Tm Th
2 4 4 4
Cartesian
0.000 0.000 0.000 Tb
8.864 1.735 0.000 Tb
-0.926 1.735 6.601 Nd
5.795 0.000 0.956 Nd
7.939 0.000 6.601 Nd
14.660 1.735 0.956 Nd
2.524 0.000 2.276 Tm
2.346 1.735 5.281 Tm
11.388 1.735 2.276 Tm
11.210 0.000 5.281 Tm
-0.442 1.735 3.070 Th
5.312 0.000 4.488 Th
8.422 0.000 3.070 Th
14.176 1.735 4.488 Th
```

- DOS(E_F): 10.672 states/eV/f.u.
- M_tot: 0.0 μB per formula unit
- Energy of formation from the pure elements: 0.17 eV per atom
- Calculated density: 8.9 g/cm3
- Space-group type: C2/m



(16)
Material: Tb3NdTm6Th2
Method: DFT, PBE
State: optimized geometry

POSCAR file:
```
Tb3NdTm6Th2
1.0
3.076 -5.324 0.000
3.076 5.324 0.000
-2.055 0.000 11.443
Tb Nd Tm Th
3 1 6 2
Cartesian
0.000 0.000 0.000 Tb
3.076 1.770 0.000 Tb
3.076 -1.770 0.000 Tb
2.048 0.000 5.722 Nd
1.005 1.800 2.877 Tm
-0.029 0.000 8.568 Tm
1.005 -1.800 2.877 Tm
3.091 1.800 8.566 Tm
4.125 0.000 2.876 Tm
3.091 -1.800 8.566 Tm
2.048 3.549 5.722 Th
2.048 -3.549 5.722 Th
```

- DOS(E_F): 15.901 states/eV/f.u.
- M_tot: 0.0 μB per formula unit
- Energy of formation from the pure elements: 0.03 eV per atom
- Calculated density: 9.3 g/cm3
- Space-group type: C2/m



(17)
Material: TbNd2Tm5Th
Method: DFT, PBE
State: optimized geometry

POSCAR file:
```
TbNd2Tm5Th
1.0
-4.333 4.333 7.641
4.333 -4.333 7.641
4.333 4.333 -7.641
Tb Nd Tm Th
2 4 10 2
Cartesian
4.333 0.000 3.820 Tb
0.000 4.333 3.820 Tb
5.340 1.006 0.000 Nd
1.006 3.327 0.000 Nd
3.327 1.006 7.641 Nd
-1.006 3.327 7.641 Nd
0.000 0.000 0.000 Tm
2.486 1.847 -2.132 Tm
2.486 -1.847 5.509 Tm
2.486 1.847 2.132 Tm
2.486 -1.847 9.773 Tm
0.000 0.000 7.641 Tm
1.847 6.180 -2.132 Tm
1.847 2.486 5.509 Tm
1.847 6.180 2.132 Tm
1.847 2.486 9.773 Tm
0.000 0.000 3.820 Th
0.000 0.000 11.461 Th
```

- DOS(E_F): 10.463 states/eV/f.u.
- M_tot: 0.0 μB per formula unit
- Energy of formation from the pure elements: 0.29 eV per atom
- Calculated density: 8.8 g/cm3
- Space-group type: I4/mcm



(18)
Material: TbNdTmTh
Method: DFT, PBE
State: optimized geometry

POSCAR file:
```
TbNdTmTh
1.0
8.048 0.000 0.000
0.000 8.048 0.000
0.000 0.000 8.048
Tb Nd Tm Th
4 4 4 4
Cartesian
0.000 0.000 0.000 Tb
0.000 4.024 4.024 Tb
4.024 0.000 4.024 Tb
4.024 4.024 0.000 Tb
2.012 2.012 2.012 Nd
2.012 6.036 6.036 Nd
6.036 2.012 6.036 Nd
6.036 6.036 2.012 Nd
0.000 0.000 4.024 Tm
0.000 4.024 0.000 Tm
4.024 0.000 0.000 Tm
4.024 4.024 4.024 Tm
2.012 2.012 6.036 Th
2.012 6.036 2.012 Th
6.036 2.012 2.012 Th
6.036 6.036 6.036 Th
```

- DOS(E_F): 8.333 states/eV/f.u.
- M_tot: 0.0 μB per formula unit
- Energy of formation from the pure elements: 0.14 eV per atom
- Excess energy over the best structure of this formula in the dataset: 122 meV/atom
- Calculated density: 9.0 g/cm3
- Space-group type: F-43m



(19)
Material: Tb3Nd2Y6Th
Method: DFT, PBE
State: optimized geometry

POSCAR file:
```
Tb3Nd2Y6Th
1.0
3.116 -5.393 0.000
3.116 5.393 0.000
-2.074 0.000 11.658
Tb Nd Y Th
3 2 6 1
Cartesian
0.000 0.000 0.000 Tb
3.116 1.802 0.000 Tb
3.116 -1.802 0.000 Tb
2.079 3.596 5.829 Nd
2.079 -3.596 5.829 Nd
1.047 1.777 2.907 Y
0.030 0.000 8.750 Y
1.047 -1.777 2.907 Y
3.111 1.777 8.751 Y
4.127 0.000 2.907 Y
3.111 -1.777 8.751 Y
2.079 0.000 5.829 Th
```

- DOS(E_F): 16.323 states/eV/f.u.
- M_tot: 0.0 μB per formula unit
- Energy of formation from the pure elements: 0.03 eV per atom
- Calculated density: 6.5 g/cm3
- Space-group type: C2/m



(20)
Material: Tb5NdY2Th
Method: DFT, PBE
State: optimized geometry

POSCAR file:
```
Tb5NdY2Th
1.0
2.830 -10.016 0.000
2.830 10.016 0.000
0.000 0.000 10.502
Tb Nd Y Th
10 2 4 2
Cartesian
2.830 9.671 5.251 Tb
2.830 4.457 8.297 Tb
2.830 4.085 1.919 Tb
2.830 2.208 5.266 Tb
2.830 0.447 2.242 Tb
2.830 -0.447 7.493 Tb
2.830 -2.208 0.015 Tb
2.830 -4.085 7.169 Tb
2.830 -4.457 3.046 Tb
2.830 -9.671 0.000 Tb
2.830 1.750 9.701 Nd
2.830 -1.750 4.450 Nd
2.830 7.753 2.189 Y
2.830 7.735 8.353 Y
2.830 -7.735 3.102 Y
2.830 -7.753 7.440 Y
2.830 5.978 5.140 Th
2.830 -5.978 10.391 Th
```

- DOS(E_F): 14.475 states/eV/f.u.
- M_tot: 0.0 μB per formula unit
- Energy of formation from the pure elements: 0.16 eV per atom
- Calculated density: 7.5 g/cm3
- Space-group type: Cmc2_1